Entry 1:
YEr2Cd3: relaxed, PBE.

Total energy (eV per atom): -3.38
DOS at the Fermi energy (states/eV/f.u.): 5.50
Energy of formation from the pure elements (eV/atom): -0.329

```
6
Lattice="-1.494 2.884 -1.827 -3.089 -1.991 -0.618 -4.359 3.795 9.552" Properties=species:S:1:pos:R:3 pbc="T T T"
Er -5.929 3.614 6.750
Cd 0.000 0.000 0.000
Cd -1.438 1.252 3.152
Y -4.471 2.344 3.553
Cd -2.920 2.543 6.400
Er -3.012 1.074 0.357
```

=====

Entry 2:
Sm2HoZr: relaxed, PBE.

Total energy (eV per atom): -5.47
DOS at the Fermi energy (states/eV/f.u.): 6.30
Energy of formation from the pure elements (eV/atom): 0.171

```
4
Lattice="-1.639 0.321 -3.693 -2.943 -2.568 1.083 -4.040 5.591 2.280" Properties=species:S:1:pos:R:3 pbc="T T T"
Zr -4.311 1.672 -0.165
Sm -1.107 1.533 0.625
Ho -2.291 -1.123 -1.305
Sm -2.932 4.059 1.655
```

=====

Entry 3:
CuBSeBr2: relaxed, PBE.

Total energy (eV per atom): -2.51
Raw formation energy (eV/atom): 1.01
DOS at the Fermi energy (states/eV/f.u.): 5.02

```
5
Lattice="-4.323 0.004 -2.523 -2.012 -3.025 3.443 -1.461 3.827 2.509" Properties=species:S:1:pos:R:3 pbc="T T T"
Cu 0.000 0.000 0.000
Br -2.161 0.002 -1.262
Se -0.730 1.913 1.254
B -3.898 0.403 1.714
Br -1.006 -1.513 1.721
```